! PBE-GGA PmZrHgPb, relaxed; values from VASP
&SYSTEM
  ibrav = 0, nat = 4, ntyp = 4
/
ATOMIC_SPECIES
Hg 200.59 Hg.upf
Pm 145.00 Pm.upf
Pb 207.20 Pb.upf
Zr 91.22 Zr.upf
ATOMIC_POSITIONS crystal
Hg 0.750 0.750 0.750
Pm 0.000 0.000 0.000
Pb 0.250 0.250 0.250
Zr 0.500 0.500 0.500
CELL_PARAMETERS angstrom
5.258 0.000 0.000
2.629 4.554 0.000
2.629 1.518 4.293
! Calculated density, g/cm3: 10.403

---

! PBE-GGA PrHgPb3, relaxed; values from VASP
&SYSTEM
  ibrav = 0, nat = 10, ntyp = 3
/
ATOMIC_SPECIES
Pb 207.20 Pb.upf
Hg 200.59 Hg.upf
Pr 140.91 Pr.upf
ATOMIC_POSITIONS crystal
Pb 0.750 0.054 0.620
Pb 0.250 0.620 0.054
Pb 0.000 0.000 0.000
Pb 0.500 0.000 0.000
Pb 0.750 0.380 0.946
Pb 0.250 0.946 0.380
Hg 0.250 0.523 0.477
Hg 0.750 0.477 0.523
Pr 0.750 0.754 0.246
Pr 0.250 0.246 0.754
CELL_PARAMETERS angstrom
-2.210 -5.569 -2.246
2.986 1.541 -6.757
5.609 -3.637 3.499
! Calculated density, g/cm3: 8.998

---

! PBE-GGA Pr3Hg4Pb, relaxed; values from VASP
&SYSTEM
  ibrav = 0, nat = 8, ntyp = 3
/
ATOMIC_SPECIES
Hg 200.59 Hg.upf
Pr 140.91 Pr.upf
Pb 207.20 Pb.upf
ATOMIC_POSITIONS crystal
Hg 0.630 0.407 0.259
Hg 0.370 0.593 0.741
Hg 0.630 0.853 0.259
Hg 0.370 0.147 0.741
Pr 0.201 0.201 0.402
Pr 0.799 0.799 0.598
Pr 0.000 0.500 0.000
Pb 0.500 0.000 0.000
CELL_PARAMETERS angstrom
3.833 0.000 0.000
0.000 9.597 0.000
-1.916 -4.799 6.611
! Calculated density, g/cm3: 9.780

---

Number 1: total magnetization 0.6 μB/cell, raw total energy -18.201 eV/cell. Number 2: total magnetization 0.0 μB/cell, raw total energy -32.931 eV/cell. Number 3: total magnetization 0.0 μB/cell, raw total energy -21.827 eV/cell.